Density functional theory data (PBE-GGA) for a relaxed structure of As2AuBrF.

Cell lengths 4.3505, 4.3505, 5.6240 Å; angles 90.00, 90.00, 90.00 degrees
Fractional positions:
As 0.0000 0.5000 0.0000
As 0.5000 0.0000 0.0000
Au 0.0000 0.0000 0.5000
Br 0.5000 0.5000 0.5000
F 0.5000 0.5000 0.0000

- Energy above the most stable polymorph in this dataset: 0.0 kJ per mole of atoms
- Total moment: 0.000 μB/f.u.
- Uncorrected formation energy: 403 meV/atom
- Space group: No. 123
- N(E_F): 0.62 states/eV per atom
- DFT total energy: -0.2074 Ry per atom